Record 1
Below is a relaxed structure of NdTeI, with properties calculated at the PBE level.

a b c (Å): 7.6877 7.6877 7.6877
angles (deg): 90.00 90.00 90.00
Closest atoms and distances in Å follow each position.
Space group F-43m (No. 216)
One atom of each set of equivalent atoms:
Nd 0.0000 0.0000 0.0000 (multiplicity 4)  4 I 3.33, 4 Te 3.33
Te 0.2500 0.2500 0.2500 (multiplicity 4)  4 Nd 3.33
I 0.2500 0.2500 0.7500 (multiplicity 4)  4 Nd 3.33

Values from the calculation:
Mass density = 5.83 g/cm³
Formation energy (no corrections) = -363 kJ/mol of formula units
Distance to the lowest polymorph of the same formula = 0.1745 eV per atom
Volume = 37.9 Å³/atom
Total DFT energy (no corrections) = -13.2 eV/f.u.



Record 2
Below is a relaxed structure of ZrZn2SiNi, with properties calculated at the PBE level.

a b c (Å): 4.4320 4.4320 5.0506
angles (deg): 90.00 90.00 90.00
Closest atoms and distances in Å follow each position.
Space group P4/mmm (No. 123)
One atom of each set of equivalent atoms:
Zr 0.0000 0.0000 0.0000 (multiplicity 1)  2 Si 2.53
Zn 0.0000 0.5000 0.5000 (multiplicity 2)  2 Si 2.22
Si 0.0000 0.0000 0.5000 (multiplicity 1)  4 Zn 2.22
Ni 0.5000 0.5000 0.0000 (multiplicity 1)  4 Zr 3.13, 8 Zn 3.36

Values from the calculation:
Mass density = 5.17 g/cm³
Formation energy (no corrections) = 275 kJ/mol of formula units
Volume = 19.8 Å³/atom
D(E_F) = 5.361 states/eV per cell
Total DFT energy (no corrections) = -19.5 eV/f.u.



Record 3
Below is a relaxed structure of La2ScSn4, with properties calculated at the PBE level.

a b c (Å): 5.3262 5.3262 16.2490
angles (deg): 90.00 90.00 90.00
Closest atoms and distances in Å follow each position.
Space group I4/mmm (No. 139)
One atom of each set of equivalent atoms:
La 0.0000 0.0000 0.1296 (multiplicity 4)  5 Sn 3.19-3.40
Sc 0.0000 0.0000 0.5000 (multiplicity 2)  6 Sn 2.66-2.83
Sn 0.0000 0.0000 0.3257 (multiplicity 4)  1 Sc 2.83
Sn 0.0000 0.5000 0.0000 (multiplicity 4)  2 Sc 2.66

Values from the calculation:
Mass density = 5.75 g/cm³
Volume = 32.9 Å³/atom
D(E_F) = 6.890 states/eV per cell
Total DFT energy (no corrections) = -34.7 eV/f.u.
ΔH_f (0 K) = -34.77 kJ/mol of atoms



Record 4
Below is a relaxed structure of Pr6Dy5Sc, with properties calculated at the PBE level.

a b c (Å): 5.1441 10.0436 15.3860
angles (deg): 90.00 90.00 90.00
Closest atoms and distances in Å follow each position.
Space group Immm (No. 71)
One atom of each set of equivalent atoms:
Pr 0.0000 0.2455 0.0000 (multiplicity 4)  6 Dy 3.55-3.63, 2 Sc 3.56, 4 Pr 3.62
Pr 0.0000 0.2525 0.3344 (multiplicity 8)  1 Sc 3.56, 7 Dy 3.58-3.63, 4 Pr 3.62-3.66
Dy 0.0000 0.0000 0.1656 (multiplicity 4)  8 Pr 3.55-3.63, 2 Sc 3.62, 2 Dy 3.65
Dy 0.0000 0.0000 0.5000 (multiplicity 2)  8 Pr 3.59-3.63, 4 Dy 3.62
Dy 0.0000 0.5000 0.1659 (multiplicity 4)  8 Pr 3.59-3.61, 4 Dy 3.62-3.65
Sc 0.0000 0.5000 0.5000 (multiplicity 2)  8 Pr 3.56, 4 Dy 3.62

Values from the calculation:
Mass density = 7.11 g/cm³
Volume = 33.1 Å³/atom
D(E_F) = 32.678 states/eV per cell
Total DFT energy (no corrections) = -57.7 eV/f.u.
ΔH_f (0 K) = 2.56 kJ/mol of atoms



Record 5
Below is a relaxed structure of Zn2P2Pd, with properties calculated at the PBE level.

a b c (Å): 6.6423 6.6423 3.6496
angles (deg): 90.00 90.00 90.00
Closest atoms and distances in Å follow each position.
Space group P4/mbm (No. 127)
One atom of each set of equivalent atoms:
Zn 0.1404 0.3596 0.0000 (multiplicity 4)  6 P 2.52-2.78, 1 Zn 2.64
P 0.1741 0.6741 0.5000 (multiplicity 4)  2 Pd 2.45, 2 Zn 2.52
Pd 0.0000 0.0000 0.5000 (multiplicity 2)  4 P 2.45

Values from the calculation:
Mass density = 6.17 g/cm³
Volume = 16.1 Å³/atom
D(E_F) = 4.157 states/eV per cell
Total DFT energy (no corrections) = -18.3 eV/f.u.
ΔH_f (0 K) = 4.21 kJ/mol of atoms



Record 6
Below is a relaxed structure of DyMgScTi, with properties calculated at the PBE level.

a b c (Å): 7.2393 7.2393 7.2393
angles (deg): 90.00 90.00 90.00
Closest atoms and distances in Å follow each position.
Space group F-43m (No. 216)
One atom of each set of equivalent atoms:
Dy 0.0000 0.0000 0.0000 (multiplicity 4)  4 Mg 3.13, 4 Ti 3.13
Mg 0.2500 0.2500 0.2500 (multiplicity 4)  4 Sc 3.13, 4 Dy 3.13
Sc 0.0000 0.0000 0.5000 (multiplicity 4)  4 Ti 3.13, 4 Mg 3.13
Ti 0.2500 0.2500 0.7500 (multiplicity 4)  4 Dy 3.13, 4 Sc 3.13

Values from the calculation:
Mass density = 4.90 g/cm³
Volume = 23.7 Å³/atom
D(E_F) = 30.072 states/eV per cell
Total DFT energy (no corrections) = -19.8 eV/f.u.
ΔH_f (0 K) = 14.26 kJ/mol of atoms



Record 7
Below is a relaxed structure of LaTlRe2N, with properties calculated at the PBE level.

a b c (Å): 4.9272 4.9272 6.6050
angles (deg): 90.00 90.00 90.00
Closest atoms and distances in Å follow each position.
Space group P4/mmm (No. 123)
One atom of each set of equivalent atoms:
La 0.0000 0.0000 0.0000 (multiplicity 1)  4 Re 2.46
Tl 0.0000 0.0000 0.5000 (multiplicity 1)  2 La 3.30, 4 N 3.48
Re 0.0000 0.5000 0.0000 (multiplicity 2)  2 La 2.46
N 0.5000 0.5000 0.5000 (multiplicity 1)  4 Tl 3.48

Values from the calculation:
Mass density = 7.56 g/cm³
Formation energy (no corrections) = 1554 kJ/mol of formula units
Volume = 32.1 Å³/atom
D(E_F) = 4.516 states/eV per cell
Total DFT energy (no corrections) = -24.4 eV/f.u.



Record 8
Below is a relaxed structure of ReMo2Ir, with properties calculated at the PBE level.

a b c (Å): 6.2756 6.2756 6.2756
angles (deg): 90.00 90.00 90.00
Closest atoms and distances in Å follow each position.
Space group F-43m (No. 216)
One atom of each set of equivalent atoms:
Re 0.0000 0.0000 0.0000 (multiplicity 4)  4 Mo 2.72, 4 Ir 2.72
Mo 0.0000 0.0000 0.5000 (multiplicity 4)  4 Ir 2.72, 4 Mo 2.72
Mo 0.2500 0.2500 0.7500 (multiplicity 4)  4 Mo 2.72, 4 Re 2.72
Ir 0.2500 0.2500 0.2500 (multiplicity 4)  4 Mo 2.72, 4 Re 2.72

Values from the calculation:
Mass density = 15.33 g/cm³
Distance to the lowest polymorph of the same formula = 0.3107 eV per atom
Volume = 15.4 Å³/atom
D(E_F) = 28.454 states/eV per cell
Total DFT energy (no corrections) = -42.0 eV/f.u.
ΔH_f (0 K) = 23.25 kJ/mol of atoms



Record 9
Below is a relaxed structure of AcBRh2, with properties calculated at the PBE level.

a b c (Å): 5.3924 9.9280 6.1566
angles (deg): 90.00 90.00 90.00
Closest atoms and distances in Å follow each position.
Space group Ama2 (No. 40)
One atom of each set of equivalent atoms:
Ac 0.2500 0.1602 0.0000 (multiplicity 4)  4 Rh 2.88-3.17
B 0.0000 0.0000 0.5090 (multiplicity 4)  4 Rh 2.03-2.09
Rh 0.2500 0.1523 0.4846 (multiplicity 4)  2 B 2.03
Rh 0.2500 0.4131 0.2278 (multiplicity 4)  2 B 2.09

Values from the calculation:
Mass density = 8.94 g/cm³
Distance to the lowest polymorph of the same formula = 0.1512 eV per atom
Volume = 20.6 Å³/atom
D(E_F) = 3.337 states/eV per cell
Total DFT energy (no corrections) = -27.2 eV/f.u.
ΔH_f (0 K) = -42.16 kJ/mol of atoms



Record 10
Below is a relaxed structure of NaTc2Pt, with properties calculated at the PBE level.

a b c (Å): 7.6151 7.6151 4.9999
angles (deg): 90.00 90.00 90.00
Closest atoms and distances in Å follow each position.
Space group I-42d (No. 122)
One atom of each set of equivalent atoms:
Na 0.0000 0.0000 0.0000 (multiplicity 4)  2 Pt 2.50
Tc 0.2027 0.7500 0.6250 (multiplicity 8)  2 Pt 2.53, 2 Tc 2.60
Pt 0.0000 0.0000 0.5000 (multiplicity 4)  2 Na 2.50, 4 Tc 2.53

Values from the calculation:
Mass density = 9.49 g/cm³
Distance to the lowest polymorph of the same formula = 0.0778 eV per atom
Volume = 18.1 Å³/atom
D(E_F) = 16.431 states/eV per cell
Total DFT energy (no corrections) = -24.5 eV/f.u.
ΔH_f (0 K) = 87.80 kJ/mol of atoms



Record 11
Below is a relaxed structure of LiEuThRh, with properties calculated at the PBE level.

a b c (Å): 7.1968 7.1968 7.1968
angles (deg): 90.00 90.00 90.00
Closest atoms and distances in Å follow each position.
Space group F-43m (No. 216)
One atom of each set of equivalent atoms:
Li 0.0000 0.0000 0.0000 (multiplicity 4)  4 Eu 3.12, 4 Th 3.12
Eu 0.2500 0.2500 0.7500 (multiplicity 4)  4 Rh 3.12, 4 Li 3.12
Th 0.2500 0.2500 0.2500 (multiplicity 4)  4 Li 3.12, 4 Rh 3.12
Rh 0.0000 0.0000 0.5000 (multiplicity 4)  4 Th 3.12, 4 Eu 3.12

Values from the calculation:
Mass density = 8.80 g/cm³
Volume = 23.3 Å³/atom
D(E_F) = 13.984 states/eV per cell
Total DFT energy (no corrections) = -27.9 eV/f.u.
ΔH_f (0 K) = -22.72 kJ/mol of atoms



Record 12
Below is a relaxed structure of K2AlAgAs, with properties calculated at the PBE level.

a b c (Å): 6.3991 6.3991 4.8673
angles (deg): 90.00 90.00 90.00
Closest atoms and distances in Å follow each position.
Space group P4/mmm (No. 123)
One atom of each set of equivalent atoms:
K 0.0000 0.5000 0.0000 (multiplicity 2)  2 As 3.20
Al 0.0000 0.0000 0.5000 (multiplicity 1)  8 K 4.02
Ag 0.5000 0.5000 0.5000 (multiplicity 1)  2 As 2.43
As 0.5000 0.5000 0.0000 (multiplicity 1)  2 Ag 2.43

Values from the calculation:
Mass density = 2.40 g/cm³
Volume = 39.9 Å³/atom
D(E_F) = 6.364 states/eV per cell
Total DFT energy (no corrections) = -11.9 eV/f.u.
ΔH_f (0 K) = 30.16 kJ/mol of atoms



Record 13
Below is a relaxed structure of TmPu2Ge2Au2, with properties calculated at the PBE level.

a b c (Å): 4.5368 4.5368 26.3959
angles (deg): 90.00 90.00 120.00
Closest atoms and distances in Å follow each position.
Space group R-3m (No. 166, hexagonal axes)
One atom of each set of equivalent atoms:
Tm 0.0000 0.0000 0.0000 (multiplicity 3)  6 Au 3.07, 6 Ge 3.30
Pu 0.0000 0.0000 0.1322 (multiplicity 6)  4 Ge 3.01-3.31, 3 Pu 3.19, 3 Au 3.23
Ge 0.0000 0.0000 0.2576 (multiplicity 6)  3 Au 2.65
Au 0.0000 0.0000 0.3940 (multiplicity 6)  3 Ge 2.65

Values from the calculation:
Mass density = 12.66 g/cm³
Volume = 22.4 Å³/atom
D(E_F) = 47.822 states/eV per cell
Total DFT energy (no corrections) = -52.0 eV/f.u.
ΔH_f (0 K) = -42.75 kJ/mol of atoms



Record 14
Below is a relaxed structure of LiErGaPd, with properties calculated at the PBE level.

a b c (Å): 6.5605 6.5605 6.5605
angles (deg): 90.00 90.00 90.00
Closest atoms and distances in Å follow each position.
Space group F-43m (No. 216)
One atom of each set of equivalent atoms:
Li 0.0000 0.0000 0.0000 (multiplicity 4)  4 Er 2.84, 4 Ga 2.84
Er 0.2500 0.2500 0.7500 (multiplicity 4)  4 Li 2.84, 4 Pd 2.84
Ga 0.2500 0.2500 0.2500 (multiplicity 4)  4 Li 2.84, 4 Pd 2.84
Pd 0.0000 0.0000 0.5000 (multiplicity 4)  4 Er 2.84, 4 Ga 2.84

Values from the calculation:
Mass density = 8.24 g/cm³
Volume = 17.6 Å³/atom
D(E_F) = 20.722 states/eV per cell
Total DFT energy (no corrections) = -17.2 eV/f.u.
ΔH_f (0 K) = -59.74 kJ/mol of atoms



Record 15
Below is a relaxed structure of ErPuAlCd, with properties calculated at the PBE level.

a b c (Å): 7.3590 7.3590 7.3590
angles (deg): 90.00 90.00 90.00
Closest atoms and distances in Å follow each position.
Space group F-43m (No. 216)
One atom of each set of equivalent atoms:
Er 0.0000 0.0000 0.0000 (multiplicity 4)  4 Cd 3.19, 4 Al 3.19
Pu 0.0000 0.0000 0.5000 (multiplicity 4)  4 Cd 3.19, 4 Al 3.19
Al 0.2500 0.2500 0.7500 (multiplicity 4)  4 Er 3.19, 4 Pu 3.19
Cd 0.2500 0.2500 0.2500 (multiplicity 4)  4 Er 3.19, 4 Pu 3.19

Values from the calculation:
Mass density = 9.18 g/cm³
Volume = 24.9 Å³/atom
D(E_F) = 30.973 states/eV per cell
Total DFT energy (no corrections) = -24.2 eV/f.u.
ΔH_f (0 K) = -14.56 kJ/mol of atoms



Record 16
Below is a relaxed structure of Ti2As2Pb, with properties calculated at the PBE level.

a b c (Å): 7.4278 7.4278 3.4114
angles (deg): 90.00 90.00 90.00
Closest atoms and distances in Å follow each position.
Space group P4/mbm (No. 127)
One atom of each set of equivalent atoms:
Ti 0.1424 0.3576 0.0000 (multiplicity 4)  6 As 2.73-2.81, 2 Pb 2.86, 1 Ti 2.99
As 0.1447 0.6447 0.5000 (multiplicity 4)  6 Ti 2.73-2.81, 1 As 3.04
Pb 0.0000 0.0000 0.0000 (multiplicity 2)  4 Ti 2.86

Values from the calculation:
Mass density = 7.99 g/cm³
Distance to the lowest polymorph of the same formula = 0.0000 eV per atom
Volume = 18.8 Å³/atom
D(E_F) = 8.542 states/eV per cell
Total DFT energy (no corrections) = -30.9 eV/f.u.
ΔH_f (0 K) = -39.80 kJ/mol of atoms



Record 17
Below is a relaxed structure of AcAgSnHg, with properties calculated at the PBE level.

a b c (Å): 7.5682 7.5682 7.5682
angles (deg): 90.00 90.00 90.00
Closest atoms and distances in Å follow each position.
Space group F-43m (No. 216)
One atom of each set of equivalent atoms:
Ac 0.0000 0.0000 0.0000 (multiplicity 4)  4 Hg 3.28, 4 Ag 3.28
Ag 0.2500 0.2500 0.7500 (multiplicity 4)  4 Ac 3.28, 4 Sn 3.28
Sn 0.0000 0.0000 0.5000 (multiplicity 4)  4 Hg 3.28, 4 Ag 3.28
Hg 0.2500 0.2500 0.2500 (multiplicity 4)  4 Ac 3.28, 4 Sn 3.28

Values from the calculation:
Mass density = 10.02 g/cm³
Volume = 27.1 Å³/atom
D(E_F) = 4.562 states/eV per cell
Total DFT energy (no corrections) = -12.8 eV/f.u.
ΔH_f (0 K) = -37.35 kJ/mol of atoms



Record 18
Below is a relaxed structure of InAg2Cl8, with properties calculated at the PBE level.

a b c (Å): 11.3611 10.5370 6.8523
angles (deg): 90.00 113.74 90.00
Closest atoms and distances in Å follow each position.
Space group C2/m (No. 12)
One atom of each set of equivalent atoms:
In 0.0000 0.0000 0.0000 (multiplicity 2)  6 Cl 2.54-2.62
Ag 0.1542 0.0000 0.6227 (multiplicity 4)  3 Cl 2.43-2.50
Cl 0.0484 0.5000 0.1589 (multiplicity 4)  1 Cl 2.01
Cl 0.0863 0.1638 0.8201 (multiplicity 8)  1 Ag 2.50, 1 In 2.54
Cl 0.2216 0.0000 0.3283 (multiplicity 4)  1 Ag 2.43, 1 In 2.62

Values from the calculation:
Mass density = 2.72 g/cm³
Formation energy (no corrections) = -542 kJ/mol of formula units
Volume = 34.1 Å³/atom
D(E_F) = 14.570 states/eV per cell
Total DFT energy (no corrections) = -28.8 eV/f.u.



Record 19
Below is a relaxed structure of HfNbZn2, with properties calculated at the PBE level.

a b c (Å): 3.4280 3.4280 5.8369
angles (deg): 90.00 90.00 90.00
Closest atoms and distances in Å follow each position.
Space group P4/mmm (No. 123)
One atom of each set of equivalent atoms:
Hf 0.0000 0.0000 0.0000 (multiplicity 1)  8 Zn 2.86, 2 Nb 2.92
Nb 0.0000 0.0000 0.5000 (multiplicity 1)  8 Zn 2.80, 2 Hf 2.92
Zn 0.5000 0.5000 0.2587 (multiplicity 2)  4 Nb 2.80, 2 Zn 2.82-3.02, 4 Hf 2.86

Values from the calculation:
Mass density = 9.74 g/cm³
Volume = 17.1 Å³/atom
D(E_F) = 2.795 states/eV per cell
Total DFT energy (no corrections) = -22.8 eV/f.u.
ΔH_f (0 K) = -5.36 kJ/mol of atoms



Record 20
Below is a relaxed structure of CaFe2Cu, with properties calculated at the PBE level.

a b c (Å): 2.9609 4.4983 9.5821
angles (deg): 90.00 90.00 90.00
Closest atoms and distances in Å follow each position.
Space group Immm (No. 71)
One atom of each set of equivalent atoms:
Ca 0.0000 0.0000 0.0000 (multiplicity 2)  4 Cu 2.69, 2 Ca 2.96
Fe 0.0000 0.5000 0.2223 (multiplicity 4)  2 Cu 2.59, 4 Fe 2.74
Cu 0.0000 0.0000 0.5000 (multiplicity 2)  4 Fe 2.59, 4 Ca 2.69

Values from the calculation:
Mass density = 5.60 g/cm³
Volume = 16.0 Å³/atom
D(E_F) = 8.936 states/eV per cell
Total DFT energy (no corrections) = -21.3 eV/f.u.
ΔH_f (0 K) = 42.71 kJ/mol of atoms